#1
# LiCuTc2

LiCuTc2 after structural relaxation (PBE, the Alexandria database).

Cell lengths 9.337, 9.337, 9.337 Å; angles 16.35, 16.35, 16.35 degrees
Last column: magnetic moment on the atom in μB.
Positions (direct):
Cu 0.250 0.250 0.250  0.05
Tc 0.997 0.997 0.997  0.35
Li 0.750 0.750 0.750  0.00
Tc 0.503 0.503 0.503  0.35

As for the space group: R-3m, No. 166.

=====

#2
# LiCuTc2

LiCuTc2 after structural relaxation (PBE, the Alexandria database).

Cell lengths 3.221, 3.877, 4.322 Å; angles 90.00, 90.00, 90.00 degrees
Positions (direct):
Tc 0.500 0.500 0.000
Li 0.000 0.500 0.500
Cu 0.500 0.000 0.500
Tc 0.000 0.000 0.000

As for the space group: Pmmm, No. 47.

=====

#3
# LiCuTc2

LiCuTc2 after structural relaxation (PBE, the Alexandria database).

Cell lengths 2.511, 2.511, 8.763 Å; angles 90.00, 90.00, 90.00 degrees
Positions (direct):
Li 0.500 0.500 0.750
Cu 0.500 0.500 0.250
Tc 0.000 0.000 0.010
Tc 0.000 0.000 0.490

As for the space group: P4/mmm, No. 123.

=====

In terms of stability, #2 leads; the second structure lies 3.8 kJ/mol of atoms higher.